No. 1
VASP calculation (PBE) on crystalline PmPrPu4 at its relaxed geometry.

Cell and atoms, written as POSCAR:
```
PmPrPu4
1.0
6.2373 0.0000 0.0000
3.1187 5.4017 0.0000
3.1187 1.8006 5.0928
Pr Pu Pm
1 4 1
direct
0.0000 0.0000 0.0000
0.1253 0.6249 0.6249
0.6249 0.1253 0.6249
0.6249 0.6249 0.6249
0.6249 0.6249 0.1253
0.2500 0.2500 0.2500
```

## Properties
Total magnetization ... 22.716 μB/f.u.
Fermi-level density of states ... 28.13 states/eV/cell
Electronic total energy ... -10.8953 eV per atom

No. 2
VASP calculation (PBE) on crystalline Pm7Pr12Pu at its relaxed geometry.

Cell and atoms, written as POSCAR:
```
Pm7Pr12Pu
1.0
9.5876 0.0000 -3.3897
-4.7938 8.3031 -3.3897
0.0000 0.0000 10.1692
Pm Pr Pu
7 12 1
direct
0.0000 0.5000 0.5000
0.0000 0.0000 0.5000
0.5000 0.5000 0.0000
0.5000 0.0000 0.0000
0.5000 0.0000 0.5000
0.0000 0.5000 0.0000
0.5000 0.5000 0.5000
0.2494 0.2487 0.4981
0.7506 0.7513 0.5019
0.4981 0.2494 0.2487
0.2487 0.9993 0.7506
0.7513 0.0007 0.2494
0.2494 0.7513 0.0007
0.7506 0.2487 0.9993
0.0007 0.2494 0.7513
0.2487 0.4981 0.2494
0.9993 0.7506 0.2487
0.5019 0.7506 0.7513
0.7513 0.5019 0.7506
0.0000 0.0000 0.0000
```

## Properties
Total magnetization ... 7.016 μB/f.u.
Fermi-level density of states ... 40.95 states/eV/cell
Electronic total energy ... -4.6126 eV per atom

No. 3
VASP calculation (PBE) on crystalline PmPr2Pu at its relaxed geometry.

Cell and atoms, written as POSCAR:
```
PmPr2Pu
1.0
-1.3428 -4.6413 3.1548
2.6148 -5.0407 -1.0256
3.8000 -2.1045 3.7985
Pm Pr Pu
1 2 1
direct
0.5000 0.5000 0.5000
0.2500 0.2500 0.2500
0.7500 0.7500 0.7500
0.0000 0.0000 0.0000
```

## Properties
Total magnetization ... 7.583 μB/f.u.
Fermi-level density of states ... 14.95 states/eV/cell
Electronic total energy ... -6.9258 eV per atom

No. 4
VASP calculation (PBE) on crystalline Pm12Pr7Pu at its relaxed geometry.

Cell and atoms, written as POSCAR:
```
Pm12Pr7Pu
1.0
9.5012 0.0000 -3.3592
-4.7506 8.2283 -3.3592
0.0000 0.0000 10.0776
Pr Pm Pu
7 12 1
direct
0.5000 0.0000 0.5000
0.5000 0.0000 0.0000
0.0000 0.5000 0.5000
0.0000 0.0000 0.5000
0.5000 0.5000 0.5000
0.5000 0.5000 0.0000
0.0000 0.5000 0.0000
0.2453 0.9997 0.7544
0.7544 0.7547 0.5091
0.9997 0.7544 0.2453
0.7547 0.5091 0.7544
0.2453 0.4909 0.2456
0.2456 0.7547 0.0003
0.7544 0.2453 0.9997
0.2456 0.2453 0.4909
0.4909 0.2456 0.2453
0.0003 0.2456 0.7547
0.7547 0.0003 0.2456
0.5091 0.7544 0.7547
0.0000 0.0000 0.0000
```

## Properties
Total magnetization ... 7.119 μB/f.u.
Fermi-level density of states ... 40.73 states/eV/cell
Electronic total energy ... -4.6197 eV per atom

Which value of Fermi-level density of states does entry 2 give?
40.95 states/eV/cell